# 1
First-principles (PBE-GGA) data for a relaxed structure of LiHg5, as listed in OQMD.

a = 5.9213 Å, b = 5.9213 Å, c = 5.7686 Å
α = 90.00°, β = 90.00°, γ = 120.00°
Space group P6/mmm (No. 191)
Inequivalent atoms, fractional coordinates:
Li 0.0000 0.0000 0.0000 [1 per cell]
Hg 0.0000 0.5000 0.5000 [3 per cell]
Hg 0.3333 0.6667 0.0000 [2 per cell]

Computed properties:
VASP energy (eV for the cell shown): -3.3

# 2
First-principles (PBE-GGA) data for a relaxed structure of ZnInAsO, as listed in OQMD.

a = 3.968 Å, b = 6.306 Å, c = 6.251 Å
α = 90.00°, β = 90.00°, γ = 90.00°
Space group Pmc2_1 (No. 26)
Inequivalent atoms, fractional coordinates:
Zn 0.000 0.201 0.000 [2 per cell]
In 0.500 0.355 0.574 [2 per cell]
As 0.000 0.172 0.390 [2 per cell]
O 0.500 0.334 0.919 [2 per cell]

Computed properties:
VASP energy (eV for the cell shown): -32.2

# 3
First-principles (PBE-GGA) data for a relaxed structure of TcAuO3, as listed in OQMD.

a = 5.556 Å, b = 7.499 Å, c = 5.512 Å
α = 90.00°, β = 90.00°, γ = 90.00°
Space group Pnma (No. 62)
Inequivalent atoms, fractional coordinates:
Tc 0.000 0.000 0.000 [4 per cell]
Au 0.000 0.250 0.499 [4 per cell]
O 0.001 0.250 0.997 [4 per cell]
O 0.171 0.001 0.331 [8 per cell]

Computed properties:
VASP energy (eV for the cell shown): -126.2

# 4
First-principles (PBE-GGA) data for a relaxed structure of Sc2AgTe2, as listed in OQMD.

a = 5.003 Å, b = 5.003 Å, c = 11.772 Å
α = 90.00°, β = 90.00°, γ = 90.00°
Space group I4/mmm (No. 139)
Inequivalent atoms, fractional coordinates:
Sc 0.000 0.500 0.250 [4 per cell]
Ag 0.000 0.000 0.000 [2 per cell]
Te 0.000 0.000 0.361 [4 per cell]

Computed properties:
E above lowest polymorph (meV per atom): 0.0

# 5
First-principles (PBE-GGA) data for a relaxed structure of PrHgPO, as listed in OQMD.

a = 4.315 Å, b = 5.957 Å, c = 6.983 Å
α = 90.00°, β = 90.00°, γ = 90.00°
Space group Pmc2_1 (No. 26)
Inequivalent atoms, fractional coordinates:
Pr 0.000 0.073 0.000 [2 per cell]
Hg 0.500 0.434 0.422 [2 per cell]
P 0.500 0.215 0.728 [2 per cell]
O 0.000 0.228 0.298 [2 per cell]

Computed properties:
VASP energy (eV for the cell shown): -40.3

# 6
First-principles (PBE-GGA) data for a relaxed structure of HgBPd2, as listed in OQMD.

a = 6.213 Å, b = 6.213 Å, c = 6.213 Å
α = 90.00°, β = 90.00°, γ = 90.00°
Space group F-43m (No. 216)
Inequivalent atoms, fractional coordinates:
Hg 0.000 0.000 0.000 [4 per cell]
B 0.250 0.250 0.750 [4 per cell]
Pd 0.000 0.000 0.500 [4 per cell]
Pd 0.250 0.250 0.250 [4 per cell]

Computed properties:
VASP energy (eV for the cell shown): -58.2

# 7
First-principles (PBE-GGA) data for a relaxed structure of ZnCoCuSb, as listed in OQMD.

a = 6.144 Å, b = 6.144 Å, c = 6.144 Å
α = 90.00°, β = 90.00°, γ = 90.00°
Space group F-43m (No. 216)
Inequivalent atoms, fractional coordinates:
Zn 0.000 0.000 0.000 [4 per cell]
Co 0.250 0.250 0.250 [4 per cell]
Cu 0.250 0.250 0.750 [4 per cell]
Sb 0.000 0.000 0.500 [4 per cell]

Computed properties:
E above lowest polymorph (meV per atom): 0.0

# 8
First-principles (PBE-GGA) data for a relaxed structure of NdErZn2Si2, as listed in OQMD.

a = 4.1536 Å, b = 4.1536 Å, c = 16.1491 Å
α = 90.00°, β = 90.00°, γ = 120.00°
Space group P6_3/mmc (No. 194)
Inequivalent atoms, fractional coordinates:
Nd 0.0000 0.0000 0.0000 [2 per cell]
Er 0.0000 0.0000 0.2500 [2 per cell]
Zn 0.3333 0.6667 0.1401 [4 per cell]
Si 0.3333 0.6667 0.6247 [4 per cell]

Computed properties:
E above lowest polymorph (meV per atom): 0.0

# 9
First-principles (PBE-GGA) data for a relaxed structure of TaNbSi2P2, as listed in OQMD.

a = 3.430 Å, b = 3.430 Å, c = 7.768 Å
α = 90.00°, β = 90.00°, γ = 90.00°
Space group P4mm (No. 99)
Inequivalent atoms, fractional coordinates:
Ta 0.000 0.000 0.000 [1 per cell]
Nb 0.500 0.500 0.529 [1 per cell]
Si 0.000 0.500 0.264 [2 per cell]
P 0.000 0.000 0.659 [1 per cell]
P 0.500 0.500 0.872 [1 per cell]

Computed properties:
VASP energy (eV for the cell shown): -47.5

# 10
First-principles (PBE-GGA) data for a relaxed structure of LaNdB2Ir2N2, as listed in OQMD.

a = 3.845 Å, b = 3.845 Å, c = 7.599 Å
α = 90.00°, β = 90.00°, γ = 90.00°
Space group P4mm (No. 99)
Inequivalent atoms, fractional coordinates:
La 0.000 0.000 0.000 [1 per cell]
Nd 0.500 0.500 0.663 [1 per cell]
B 0.000 0.000 0.480 [1 per cell]
B 0.500 0.500 0.183 [1 per cell]
Ir 0.000 0.500 0.333 [2 per cell]
N 0.000 0.000 0.677 [1 per cell]
N 0.500 0.500 0.987 [1 per cell]

Computed properties:
VASP energy (eV for the cell shown): -66.2

# 11
First-principles (PBE-GGA) data for a relaxed structure of Co21B6W2, as listed in OQMD.

a = 10.450 Å, b = 10.450 Å, c = 10.450 Å
α = 90.00°, β = 90.00°, γ = 90.00°
Space group Fm-3m (No. 225)
Inequivalent atoms, fractional coordinates:
Co 0.000 0.000 0.000 [4 per cell]
Co 0.000 0.169 0.169 [48 per cell]
Co 0.118 0.118 0.382 [32 per cell]
B 0.000 0.000 0.275 [24 per cell]
W 0.250 0.250 0.250 [8 per cell]

Computed properties:
VASP energy (eV for the cell shown): -880.4

# 12
First-principles (PBE-GGA) data for a relaxed structure of TbZrRe, as listed in OQMD.

a = 6.572 Å, b = 6.572 Å, c = 6.572 Å
α = 90.00°, β = 90.00°, γ = 90.00°
Space group F-43m (No. 216)
Inequivalent atoms, fractional coordinates:
Tb 0.000 0.000 0.000 [4 per cell]
Zr 0.250 0.250 0.750 [4 per cell]
Re 0.000 0.000 0.500 [4 per cell]

Computed properties:
Formation energy from the elements (eV/atom): 0.82